1.
# Tb4TlSn2 GGA-PBE optimized geometry
# D(E_F) = 5.578 states/eV/f.u.
# ΔE_f = -0.43 eV/atom
data_Tb4TlSn2
_chemical_formula_sum 'Tb8 Tl2 Sn4'
_cell_length_a 5.8565
_cell_length_b 6.5649
_cell_length_c 10.7166
_cell_angle_alpha 90.00
_cell_angle_beta 104.29
_cell_angle_gamma 90.00
_space_group_name_H-M_alt 'P 1 21/m 1'
_space_group_IT_number 11
loop_
_space_group_symop_operation_xyz
'x,y,z'
'-x,-y,-z'
'-x,y+1/2,-z'
'x,-y+1/2,z'
loop_
_atom_site_label
_atom_site_type_symbol
_atom_site_fract_x
_atom_site_fract_y
_atom_site_fract_z
Tb1 Tb 0.1574 0.2500 0.1332
Tb2 Tb 0.2828 0.7500 0.4513
Tb3 Tb 0.2963 0.0092 0.7337
Tl1 Tl 0.1072 0.7500 0.1677
Sn1 Sn 0.1813 0.2500 0.4403
Sn2 Sn 0.4145 0.7500 0.9960

2.
# Tb4Tl2Sn GGA-PBE optimized geometry
# D(E_F) = 5.683 states/eV/f.u.
# ΔE_f = -0.41 eV/atom
data_Tb4Tl2Sn
_chemical_formula_sum 'Tb16 Tl8 Sn4'
_cell_length_a 9.3487
_cell_length_b 9.3487
_cell_length_c 9.3749
_cell_angle_alpha 90.00
_cell_angle_beta 90.00
_cell_angle_gamma 90.00
_space_group_name_H-M_alt 'I -4 2 d'
_space_group_IT_number 122
_space_group_name_Hall 'I -4 2bw'
loop_
_atom_site_label
_atom_site_type_symbol
_atom_site_fract_x
_atom_site_fract_y
_atom_site_fract_z
Tb1 Tb 0.0710 0.6785 0.4492
Tl1 Tl 0.1206 0.7500 0.1250
Sn1 Sn 0.0000 0.0000 0.5000